1.
The following is a PBE calculation of a relaxed NaPrGa2 crystal, from Alexandria via LeMat-Bulk.

- Total DFT energy (no corrections): -3.328 eV per atom

Structure (CIF):
```
data_NaPrGa2
_chemical_formula_sum 'Na1 Pr1 Ga2'
_cell_length_a 5.058
_cell_length_b 5.058
_cell_length_c 3.850
_cell_angle_alpha 90.00
_cell_angle_beta 90.00
_cell_angle_gamma 90.00
_symmetry_space_group_name_H-M 'P 4/m m m'
_symmetry_Int_Tables_number 123
_symmetry_space_group_name_Hall '-P 4 2'
loop_
_atom_site_label
_atom_site_type_symbol
_atom_site_fract_x
_atom_site_fract_y
_atom_site_fract_z
Na1 Na 0.000 0.000 0.000
Pr1 Pr 0.500 0.500 0.000
Ga1 Ga 0.000 0.500 0.500
```

=====

2.
The following is a PBE calculation of a relaxed Nb4SN crystal, from Alexandria via LeMat-Bulk.

- Uncorrected formation energy: -455 meV/atom

Structure (CIF):
```
data_Nb4SN
_chemical_formula_sum 'Nb16 S4 N4'
_cell_length_a 7.582
_cell_length_b 7.582
_cell_length_c 6.757
_cell_angle_alpha 90.00
_cell_angle_beta 90.00
_cell_angle_gamma 90.00
_symmetry_space_group_name_H-M 'I 41 m d'
_symmetry_Int_Tables_number 109
_symmetry_space_group_name_Hall 'I 4bw -2'
loop_
_atom_site_label
_atom_site_type_symbol
_atom_site_fract_x
_atom_site_fract_y
_atom_site_fract_z
Nb1 Nb 0.000 0.281 0.000
Nb2 Nb 0.000 0.306 0.462
S1 S 0.000 0.000 0.494
N1 N 0.000 0.000 0.971
```

=====

3.
The following is a PBE calculation of a relaxed VInNiPt crystal, from Alexandria via LeMat-Bulk.

- Total DFT energy (no corrections): -6.089 eV per atom

Structure (CIF):
```
data_VInNiPt
_chemical_formula_sum 'V4 In4 Ni4 Pt4'
_cell_length_a 6.274
_cell_length_b 6.274
_cell_length_c 6.274
_cell_angle_alpha 90.00
_cell_angle_beta 90.00
_cell_angle_gamma 90.00
_symmetry_space_group_name_H-M 'F -4 3 m'
_symmetry_Int_Tables_number 216
_symmetry_space_group_name_Hall 'F -4 2 3'
loop_
_atom_site_label
_atom_site_type_symbol
_atom_site_fract_x
_atom_site_fract_y
_atom_site_fract_z
V1 V 0.000 0.000 0.000
In1 In 0.000 0.000 0.500
Ni1 Ni 0.250 0.250 0.250
Pt1 Pt 0.250 0.250 0.750
```

=====

4.
The following is a PBE calculation of a relaxed NdH2I4 crystal, from Alexandria via LeMat-Bulk.

- Total DFT energy (no corrections): -3.167 eV per atom

Structure (CIF):
```
data_NdH2I4
_chemical_formula_sum 'Nd1 H2 I4'
_cell_length_a 4.853
_cell_length_b 6.253
_cell_length_c 8.791
_cell_angle_alpha 90.00
_cell_angle_beta 97.49
_cell_angle_gamma 90.00
_symmetry_space_group_name_H-M 'P 1 2/m 1'
_symmetry_Int_Tables_number 10
loop_
_symmetry_equiv_pos_as_xyz
'x,y,z'
'-x,-y,-z'
'-x,y,-z'
'x,-y,z'
loop_
_atom_site_label
_atom_site_type_symbol
_atom_site_fract_x
_atom_site_fract_y
_atom_site_fract_z
Nd1 Nd 0.000 0.000 0.000
H1 H 0.001 0.500 0.455
I1 I 0.011 0.500 0.179
I2 I 0.452 0.000 0.764
```

=====

5.
The following is a PBE calculation of a relaxed SrYSc2 crystal, from Alexandria via LeMat-Bulk.

- Total DFT energy (no corrections): -4.924 eV per atom

Structure (CIF):
```
data_SrYSc2
_chemical_formula_sum 'Sr2 Y2 Sc4'
_cell_length_a 11.482
_cell_length_b 3.504
_cell_length_c 6.361
_cell_angle_alpha 90.00
_cell_angle_beta 99.29
_cell_angle_gamma 90.00
_symmetry_space_group_name_H-M 'C 1 2/m 1'
_symmetry_Int_Tables_number 12
loop_
_symmetry_equiv_pos_as_xyz
'x,y,z'
'-x,-y,-z'
'-x,y,-z'
'x,-y,z'
'x+1/2,y+1/2,z'
'-x+1/2,-y+1/2,-z'
'-x+1/2,y+1/2,-z'
'x+1/2,-y+1/2,z'
loop_
_atom_site_label
_atom_site_type_symbol
_atom_site_fract_x
_atom_site_fract_y
_atom_site_fract_z
Sr1 Sr 0.000 0.000 0.000
Y1 Y 0.000 0.500 0.500
Sc1 Sc 0.243 0.000 0.718
```

=====

Respective total moment values: 0.00; 0.00; 7.11; 0.00; 0.00 μB/cell.